A plane-wave DFT calculation with PBE was carried out for an optimized crystal structure of PrNdCoI.

Symmetry ... Cm (8)
Mass density ... 6.65 g/cm³
Density of states at the Fermi level ... 0.2941 states/eV/atom
ΔE_f (raw) ... -560 meV/atom

abc: 4.0758 4.0758 8.5063
angles: 103.81 103.81 59.98
With the nearest neighbours (Å) after each atom.
Element x y z (fractional)
Pr (0.0000, 0.0000, 0.0000)  3 Co 2.79
Nd (0.2110, 0.2110, 0.6354)  3 Co 2.78
Co (0.6051, 0.6051, 0.8168)  3 Nd 2.78, 3 Pr 2.79
I (0.4383, 0.4383, 0.3167)  3 Pr 3.50, 3 Nd 3.51